## 1
Density functional theory data (PBE) for crystalline Th3SbN3 at its relaxed geometry.

Cell lengths 7.0188, 7.0188, 23.0658 Å; angles 90.00, 90.00, 120.00 degrees
Space group R-3 (No. 148, hexagonal axes)
Asymmetric unit:
Th: 0.0026 0.6542 0.3966 (multiplicity 18)
Sb: 0.0000 0.0000 0.1665 (multiplicity 6)
N: 0.0064 0.6812 0.6270 (multiplicity 18)

DOS at the Fermi energy, states/eV per atom: 0.29



## 2
Density functional theory data (PBE) for crystalline Th3SbN3 at its relaxed geometry.

Cell lengths 9.4560, 4.2089, 9.4572 Å; angles 90.00, 119.97, 90.00 degrees
Space group P2_1/m (No. 11)
Asymmetric unit:
Th: 0.0863 0.2500 0.3762 (multiplicity 2)
Th: 0.2903 0.2500 0.9134 (multiplicity 2)
Th: 0.3764 0.7500 0.2899 (multiplicity 2)
Sb: 0.3331 0.7500 0.6663 (multiplicity 2)
N: 0.0242 0.2500 0.7239 (multiplicity 2)
N: 0.2761 0.2500 0.2998 (multiplicity 2)
N: 0.3009 0.7500 0.0240 (multiplicity 2)



1 is preferred energetically. Next in line: 98 meV per atom higher.



## 1
Density functional theory data (PBE) for crystalline Ti6Sb2N at its relaxed geometry.

Cell lengths 10.2544, 5.9061, 4.8099 Å; angles 90.00, 90.02, 90.00 degrees
Space group C2/m (No. 12)
Asymmetric unit:
Ti: 0.0807 0.2436 0.2406 (multiplicity 8)
Ti: 0.1629 0.0000 0.7576 (multiplicity 4)
Sb: 0.1669 0.5000 0.7484 (multiplicity 4)
N: 0.0000 0.0000 0.5000 (multiplicity 2)

DOS at the Fermi energy, states/eV per atom: 1.11



## 2
Density functional theory data (PBE) for crystalline Ti6Sb2N at its relaxed geometry.

Cell lengths 5.7523, 5.7523, 8.7881 Å; angles 90.00, 90.00, 90.00 degrees
Space group I4/mmm (No. 139)
Asymmetric unit:
Ti: 0.0000 0.0000 0.2499 (multiplicity 4)
Ti: 0.2460 0.2460 0.0000 (multiplicity 8)
Sb: 0.0000 0.5000 0.2500 (multiplicity 4)
N: 0.0000 0.0000 0.5000 (multiplicity 2)

DOS at the Fermi energy, states/eV per atom: 0.98



1 is preferred energetically. Next in line: 70 meV per atom higher.



## 1
Density functional theory data (PBE) for crystalline Ti4Sb2N at its relaxed geometry.

Cell lengths 7.0056, 10.1072, 3.3661 Å; angles 90.00, 90.00, 90.00 degrees
Space group Pbam (No. 55)
Asymmetric unit:
Ti: 0.1264 0.1814 0.0000 (multiplicity 4)
Ti: 0.1681 0.9329 0.5000 (multiplicity 4)
Sb: 0.0632 0.6495 0.5000 (multiplicity 4)
N: 0.0000 0.0000 0.0000 (multiplicity 2)

DOS at the Fermi energy, states/eV per atom: 0.84



## 2
Density functional theory data (PBE) for crystalline Ti4Sb2N at its relaxed geometry.

Cell lengths 4.1446, 4.1446, 14.0800 Å; angles 90.00, 90.00, 90.00 degrees
Space group I4/mmm (No. 139)
Asymmetric unit:
Ti: 0.0000 0.0000 0.1470 (multiplicity 4)
Ti: 0.0000 0.5000 0.0000 (multiplicity 4)
Sb: 0.0000 0.0000 0.3503 (multiplicity 4)
N: 0.0000 0.0000 0.0000 (multiplicity 2)

DOS at the Fermi energy, states/eV per atom: 1.16



1 is preferred energetically. Next in line: 16 meV per atom higher.



## 1
Density functional theory data (PBE) for crystalline Tl2SbN at its relaxed geometry.

Cell lengths 6.1531, 6.1531, 11.3528 Å; angles 90.00, 90.00, 90.00 degrees
Space group I-42d (No. 122)
Asymmetric unit:
Tl: 0.1662 0.2500 0.1250 (multiplicity 8)
Sb: 0.0000 0.0000 0.5000 (multiplicity 4)
N: 0.0000 0.0000 0.0000 (multiplicity 4)

DOS at the Fermi energy, states/eV per atom: 0.01



## 2
Density functional theory data (PBE) for crystalline Tl2SbN at its relaxed geometry.

Cell lengths 7.3431, 7.3431, 7.3431 Å; angles 90.00, 90.00, 90.00 degrees
Space group Fm-3m (No. 225)
Asymmetric unit:
Tl: 0.2500 0.2500 0.2500 (multiplicity 8)
Sb: 0.0000 0.0000 0.0000 (multiplicity 4)
N: 0.0000 0.0000 0.5000 (multiplicity 4)

DOS at the Fermi energy, states/eV per atom: 0.49



1 is preferred energetically. Next in line: 468 meV per atom higher.



## 1
Density functional theory data (PBE) for crystalline Tm2SbN at its relaxed geometry.

Cell lengths 4.4513, 4.4513, 8.8207 Å; angles 90.00, 90.00, 90.00 degrees
Space group P4/nmm (No. 129, origin choice 2)
Asymmetric unit:
Tm: 0.2500 0.2500 0.1763 (multiplicity 2)
Tm: 0.2500 0.7500 0.5000 (multiplicity 2)
Sb: 0.2500 0.2500 0.8131 (multiplicity 2)
N: 0.2500 0.2500 0.4234 (multiplicity 2)

DOS at the Fermi energy, states/eV per atom: 0.13



## 2
Density functional theory data (PBE) for crystalline Tm2SbN at its relaxed geometry.

Cell lengths 3.5258, 3.5258, 22.0399 Å; angles 90.00, 90.00, 120.00 degrees
Space group R-3m (No. 166, hexagonal axes)
Asymmetric unit:
Tm: 0.0000 0.0000 0.2240 (multiplicity 6)
Sb: 0.0000 0.0000 0.0000 (multiplicity 3)
N: 0.0000 0.0000 0.5000 (multiplicity 3)

DOS at the Fermi energy, states/eV per atom: 0.74



## 3
Density functional theory data (PBE) for crystalline Tm2SbN at its relaxed geometry.

Cell lengths 3.6420, 3.6420, 25.2306 Å; angles 90.00, 90.00, 120.00 degrees
Space group R3m (No. 160, hexagonal axes)
Asymmetric unit:
Tm: 0.0000 0.0000 0.0000 (multiplicity 3)
Tm: 0.0000 0.0000 0.4466 (multiplicity 3)
Sb: 0.0000 0.0000 0.8776 (multiplicity 3)
N: 0.0000 0.0000 0.3603 (multiplicity 3)

DOS at the Fermi energy, states/eV per atom: 0.49



1 is preferred energetically. Next in line: 196 meV per atom higher.



## 1
Density functional theory data (PBE) for crystalline U2SbN at its relaxed geometry.

Cell lengths 3.2320, 3.2320, 25.2429 Å; angles 90.00, 90.00, 120.00 degrees
Space group R3m (No. 160, hexagonal axes)
Asymmetric unit:
U: 0.0000 0.0000 0.0000 (multiplicity 3)
U: 0.0000 0.0000 0.2152 (multiplicity 3)
Sb: 0.0000 0.0000 0.4409 (multiplicity 3)
N: 0.0000 0.0000 0.6081 (multiplicity 3)

DOS at the Fermi energy, states/eV per atom: 2.20



## 2
Density functional theory data (PBE) for crystalline U2SbN at its relaxed geometry.

Cell lengths 3.7249, 3.7249, 20.5599 Å; angles 90.00, 90.00, 120.00 degrees
Space group R-3m (No. 166, hexagonal axes)
Asymmetric unit:
U: 0.0000 0.0000 0.2253 (multiplicity 6)
Sb: 0.0000 0.0000 0.0000 (multiplicity 3)
N: 0.0000 0.0000 0.5000 (multiplicity 3)

DOS at the Fermi energy, states/eV per atom: 2.04



1 is preferred energetically. Next in line: 24 meV per atom higher.